No. 1
Tc2PSe | PBE | relaxed

Structure (extended XYZ):
```
8
Lattice="8.103 0.000 0.000 0.000 3.116 0.000 -1.280 0.000 4.955" Properties=species:S:1:pos:R:3 pbc="T T T"
Tc 0.000 0.000 0.000
Tc 1.020 0.000 2.938
Tc 4.051 1.558 0.000
Tc 5.072 1.558 2.938
P -0.736 1.558 3.246
P 3.315 0.000 3.246
Se 1.701 1.558 1.040
Se 5.752 0.000 1.040
```

Values from the calculation:
- space-group type = Cm
- energy relative to the lowest polymorph listed for this composition (eV/atom) = 0.000
- crystal system = monoclinic
- energy relative to the elements, uncorrected (meV per atom) = -237

No. 2
TcPSe2 | PBE | relaxed

Structure (extended XYZ):
```
8
Lattice="5.187 0.000 0.000 0.000 5.187 0.000 0.000 0.000 5.180" Properties=species:S:1:pos:R:3 pbc="T T T"
Tc 0.000 0.000 0.000
Tc 2.593 2.593 2.590
P 0.000 0.000 2.590
P 2.593 2.593 0.000
Se 0.000 2.593 0.000
Se 0.000 2.593 2.590
Se 2.593 0.000 0.000
Se 2.593 0.000 2.590
```

Values from the calculation:
- space-group type = I4/mmm
- crystal system = tetragonal
- energy relative to the elements, uncorrected (meV per atom) = 349

No. 3
TcPSe2 | PBE | relaxed

Structure (extended XYZ):
```
12
Lattice="3.209 0.000 0.000 -1.604 2.779 0.000 0.000 0.000 26.007" Properties=species:S:1:pos:R:3 pbc="T T T"
Tc 0.000 0.000 0.000
Tc 0.000 1.852 17.338
Tc 1.604 0.926 8.669
P 0.000 0.000 13.004
P 0.000 1.852 4.335
P 1.604 0.926 21.673
Se 0.000 0.000 10.414
Se 0.000 0.000 15.593
Se 0.000 1.852 1.745
Se 0.000 1.852 6.924
Se 1.604 0.926 19.083
Se 1.604 0.926 24.262
```

Values from the calculation:
- space-group type = R-3m
- crystal system = trigonal
- energy relative to the elements, uncorrected (meV per atom) = 299

No. 4
Tc2PSe | PBE | relaxed

Structure (extended XYZ):
```
4
Lattice="2.985 0.000 0.000 0.000 3.908 0.000 0.000 0.000 5.319" Properties=species:S:1:pos:R:3 pbc="T T T"
Tc 0.000 0.000 0.000
Tc 1.493 0.000 2.659
P 0.000 1.954 2.659
Se 1.493 1.954 0.000
```

Values from the calculation:
- space-group type = Pmmm
- energy relative to the lowest polymorph listed for this composition (eV/atom) = 0.662
- crystal system = orthorhombic
- energy relative to the elements, uncorrected (meV per atom) = 425

No. 5
TcPSe2 | PBE | relaxed

Structure (extended XYZ):
```
8
Lattice="5.062 0.000 0.000 0.000 8.124 0.000 0.000 0.000 3.340" Properties=species:S:1:pos:R:3 pbc="T T T"
Tc 0.000 0.000 0.000
Tc 2.531 4.062 0.000
P 0.000 4.062 0.000
P 2.531 0.000 0.000
Se 1.265 2.031 1.670
Se 1.265 6.093 1.670
Se 3.796 2.031 1.670
Se 3.796 6.093 1.670
```

Values from the calculation:
- space-group type = Cmmm
- crystal system = orthorhombic
- energy relative to the elements, uncorrected (meV per atom) = 679

No. 6
TcPSe2 | PBE | relaxed

Structure (extended XYZ):
```
8
Lattice="7.404 0.000 0.000 0.000 3.680 0.000 -1.106 0.000 6.732" Properties=species:S:1:pos:R:3 pbc="T T T"
Tc 0.000 0.000 0.000
Tc 3.702 1.840 0.000
P 1.416 1.840 0.316
P 5.118 0.000 0.316
Se 0.012 1.840 2.021
Se 1.531 0.000 5.176
Se 3.714 0.000 2.021
Se 5.233 1.840 5.176
```

Values from the calculation:
- space-group type = Cm
- crystal system = monoclinic
- energy relative to the elements, uncorrected (meV per atom) = -95

Question: Which of these has the lowest energy relative to the elements, uncorrected?
Answer: number 1